1.
Here is a relaxed ReSi2Mo crystal from Alexandria. Energies are from PBE.

abc: 3.0553 3.9070 4.8255
angles: 90.00 90.00 90.00
Sites, in units of the cell vectors:
Re1 0.0000 0.0000 0.0000
Si1 0.0000 0.5000 0.5000
Si2 0.5000 0.5000 0.0000
Mo1 0.5000 0.0000 0.5000

- Space group: No. 47
- Formation energy without anion corrections: 0.0539 eV/atom
- Raw total energy: -8.477 eV per atom


2.
Here is a relaxed Re2SiMo crystal from Alexandria. Energies are from PBE.

abc: 2.8745 3.9947 5.1471
angles: 90.00 90.00 90.00
Sites, in units of the cell vectors:
Re1 0.0000 0.0000 0.2384
Re2 0.0000 0.0000 0.7616
Si1 0.5000 0.5000 0.0000
Mo1 0.5000 0.5000 0.5000

- Space group: No. 47
- Formation energy without anion corrections: 0.0430 eV/atom
- Raw total energy: -10.245 eV per atom


- Which formula does entry 1 have?
  ReSi2Mo